[1]
## PuZrV (PBE)

Data for a relaxed PuZrV crystal.

Unit cell a=4.756 b=14.613 c=3.274 alpha=90.00 beta=90.00 gamma=90.00
Space group Cmcm (No. 63)
Unique sites:
1 Pu 0.000 0.056 0.250 x4
2 Zr 0.000 0.391 0.250 x4
3 V 0.000 0.203 0.250 x4

Results
Formation energy ... 0.317 eV per atom
Energy above the most stable polymorph in this dataset ... 0.073 eV per atom

=====

[2]
## ScGaSeF2 (PBE)

Data for a relaxed ScGaSeF2 crystal.

Unit cell a=4.181 b=4.181 c=5.394 alpha=90.00 beta=90.00 gamma=90.00
Space group P4/mmm (No. 123)
Unique sites:
1 Sc 0.000 0.000 0.000 x1
2 Ga 0.500 0.500 0.500 x1
3 Se 0.000 0.000 0.500 x1
4 F 0.000 0.500 0.000 x2

Results
Formation energy (no corrections) ... -2.32 eV per atom

=====

[3]
## Sb2TeSI (PBE)

Data for a relaxed Sb2TeSI crystal.

Unit cell a=5.894 b=5.894 c=5.764 alpha=90.00 beta=90.00 gamma=90.00
Space group P4/mmm (No. 123)
Unique sites:
1 Sb 0.000 0.500 0.000 x2
2 Te 0.000 0.000 0.000 x1
3 S 0.500 0.500 0.500 x1
4 I 0.000 0.000 0.500 x1

Results
Energy above the most stable polymorph in this dataset ... 0.500 eV per atom
Formation energy (no corrections) ... 1.02 eV per atom

=====

[4]
## CsNaPdPb2 (PBE)

Data for a relaxed CsNaPdPb2 crystal.

Unit cell a=5.445 b=5.445 c=5.860 alpha=90.00 beta=90.00 gamma=90.00
Space group P4/mmm (No. 123)
Unique sites:
1 Cs 0.000 0.000 0.000 x1
2 Na 0.500 0.500 0.000 x1
3 Pd 0.500 0.500 0.500 x1
4 Pb 0.000 0.500 0.500 x2

Results
Formation energy ... -0.084 eV per atom

=====

[5]
## Ti2ZnTeRh (PBE)

Data for a relaxed Ti2ZnTeRh crystal.

Unit cell a=4.621 b=4.621 c=4.961 alpha=90.00 beta=90.00 gamma=90.00
Space group P4/mmm (No. 123)
Unique sites:
1 Ti 0.000 0.500 0.000 x2
2 Zn 0.000 0.000 0.000 x1
3 Te 0.000 0.000 0.500 x1
4 Rh 0.500 0.500 0.500 x1

Results
Formation energy (no corrections) ... 0.94 eV per atom

=====

[6]
## Ni2TeI2 (PBE)

Data for a relaxed Ni2TeI2 crystal.

Unit cell a=4.992 b=4.992 c=13.350 alpha=90.00 beta=90.00 gamma=90.00
Space group I4/mmm (No. 139)
Unique sites:
1 Ni 0.000 0.000 0.181 x4
2 Te 0.000 0.000 0.000 x2
3 I 0.000 0.500 0.250 x4

Results
Energy above the most stable polymorph in this dataset ... 0.000 eV per atom
Formation energy (no corrections) ... 0.28 eV per atom